DFT (PBE+U) results for an optimized crystal structure of V2CdP2O10.

Cell: 8.9013 6.8393 9.9766 Å, 60.56 42.00 77.44°
With the nearest neighbours (Å) after each atom.
Fractional positions:
V1 0.0050 0.9950 0.2355  1 O 1.70
V2 0.0145 0.4855 0.2450  1 O 1.70
V3 0.4855 0.0145 0.2550  1 O 1.70
V4 0.9950 0.0050 0.7645  1 O 1.70
Cd1 0.3876 0.3876 0.6124  4 O 2.34-2.37
Cd2 0.6376 0.6376 0.8624  4 O 2.34-2.37
P1 0.1757 0.5924 0.4075  4 O 1.54-1.57
P2 0.4257 0.8425 0.6576  4 O 1.54-1.57
P3 0.5924 0.1757 0.8243  4 O 1.54-1.57
P4 0.8425 0.4257 0.0743  4 O 1.54-1.57
O1 0.0283 0.2805 0.0011  1 P 1.57
O2 0.0494 0.2148 0.2824  1 V 1.70
O3 0.0795 0.3559 0.6196  1 P 1.54
O4 0.2148 0.0494 0.4534  1 V 1.70
O5 0.2489 0.5599 0.2217  1 P 1.57
O6 0.2805 0.0283 0.6901  1 P 1.57
O7 0.3050 0.6304 0.8941  1 P 1.54
O8 0.3559 0.0795 0.9450  1 P 1.54
O9 0.3881 0.7228 0.3050  1 P 1.54
O10 0.4528 0.7716 0.5142  1 P 1.57
O11 0.5599 0.2489 0.9695  1 P 1.57
O12 0.6304 0.3050 0.1705  1 P 1.54
O13 0.6659 0.9450 0.5272  1 P 1.54
O14 0.7228 0.3881 0.5841  1 P 1.54
O15 0.7358 0.9887 0.7972  1 P 1.57
O16 0.7716 0.4528 0.2613  1 P 1.57
O17 0.7966 0.9676 0.0352  1 V 1.70
O18 0.9450 0.6659 0.8619  1 P 1.54
O19 0.9676 0.7966 0.2006  1 V 1.70
O20 0.9887 0.7358 0.4784  1 P 1.57

Calculated values
For the density of states at the Fermi level, the calculation gives 0.000 states/eV per atom. As for the energy above the lowest structure with this stoichiometry: 0.0028 eV/atom.